A relaxed structure of Pr3TlCd2Pt2Au, computed with GGA-PBE.

```
Pr3TlCd2Pt2Au
1.0
-3.2683 2.3542 -0.0261
-4.2660 -5.8880 3.1074
3.6661 5.1423 4.7581
Au Cd Pr Pt Tl
1 2 3 2 1
Cartesian
-1.6402 1.1695 0.0671
-3.3085 -4.5451 4.3393
2.5536 3.6067 5.5593
-4.1410 -2.2828 1.8256
-1.8798 0.8717 3.2077
0.5183 4.1964 2.7952
-1.6378 -2.2337 3.6161
1.0437 1.4952 4.1741
-0.4443 -0.5523 5.8258
```

Summary:
The space group is Amm2, No. 38. The magnetic moment is 0.00 μB/f.u. The raw total energy is -4.523 eV/atom. As for the theoretical density: 10.9 g cm⁻³.